Here is a relaxed ReHg2Se crystal from Alexandria via LeMat-Bulk. Energies are from GGA-PBEsol.

```
data_ReHg2Se
_chemical_formula_sum 'Re2 Hg4 Se2'
_cell_length_a 2.9803
_cell_length_b 5.0741
_cell_length_c 10.6554
_cell_angle_alpha 90.00
_cell_angle_beta 90.00
_cell_angle_gamma 90.00
_space_group_name_H-M_alt 'C m m 2'
_space_group_IT_number 35
loop_
_space_group_symop_operation_xyz
'x,y,z'
'-x,-y,z'
'-x,y,z'
'x,-y,z'
'x+1/2,y+1/2,z'
'-x+1/2,-y+1/2,z'
'-x+1/2,y+1/2,z'
'x+1/2,-y+1/2,z'
loop_
_atom_site_label
_atom_site_type_symbol
_atom_site_fract_x
_atom_site_fract_y
_atom_site_fract_z
Re1 Re 0.0000 0.0000 0.0000
Hg1 Hg 0.0000 0.0000 0.4940
Hg2 Hg 0.0000 0.5000 0.7671
Se1 Se 0.0000 0.5000 0.1811
```

## Properties
As for the crystal system: orthorhombic. For the density of states at the Fermi level, the calculation gives 4.85 states/eV/cell. Its theoretical density is 13.7 g cm⁻³. The calculation puts the formation energy from raw total energies at 0.426 eV per atom. The calculation puts the total DFT energy (no corrections) at -4.153 eV/atom.

---

Here is a relaxed ReHg2Se crystal from Alexandria via LeMat-Bulk. Energies are from GGA-PBEsol.

```
data_ReHg2Se
_chemical_formula_sum 'Re2 Hg4 Se2'
_cell_length_a 2.8486
_cell_length_b 5.0017
_cell_length_c 10.7883
_cell_angle_alpha 90.00
_cell_angle_beta 90.00
_cell_angle_gamma 90.00
_space_group_name_H-M_alt 'C m m m'
_space_group_IT_number 65
_space_group_name_Hall '-C 2 2'
loop_
_atom_site_label
_atom_site_type_symbol
_atom_site_fract_x
_atom_site_fract_y
_atom_site_fract_z
Re1 Re 0.0000 0.0000 0.0000
Hg1 Hg 0.0000 0.5000 0.2307
Se1 Se 0.0000 0.0000 0.5000
```

## Properties
As for the crystal system: orthorhombic. For the density of states at the Fermi level, the calculation gives 4.85 states/eV/cell. Its theoretical density is 14.4 g cm⁻³. The calculation puts the formation energy from raw total energies at 0.692 eV per atom. The calculation puts the total DFT energy (no corrections) at -3.887 eV/atom.